First-principles (GGA-PBE) data for a relaxed Ti2O3 crystal, as listed in the Alexandria database.

Values from the calculation:
magnetic moment: 0.40 μB per formula unit
formation energy from raw total energies: -2.8137 eV/atom
DOS(E_F): 11.45 states/eV/cell
raw total energy: -8.947 eV per atom

Cell: 7.681 2.998 13.355 Å, 90.00 98.87 90.00°
Space group P2_1/m (No. 11)
Asymmetric unit:
Ti (0.011, 0.250, 0.101) [2 per cell]
Ti (0.042, 0.750, 0.618) [2 per cell]
Ti (0.308, 0.250, 0.483) [2 per cell]
Ti (0.319, 0.250, 0.775) [2 per cell]
Ti (0.342, 0.750, 0.281) [2 per cell]
Ti (0.366, 0.250, 0.064) [2 per cell]
O (0.115, 0.750, 0.468) [2 per cell]
O (0.132, 0.250, 0.972) [2 per cell]
O (0.138, 0.750, 0.785) [2 per cell]
O (0.192, 0.250, 0.325) [2 per cell]
O (0.216, 0.750, 0.133) [2 per cell]
O (0.228, 0.250, 0.626) [2 per cell]
O (0.447, 0.250, 0.922) [2 per cell]
O (0.450, 0.750, 0.424) [2 per cell]
O (0.495, 0.250, 0.235) [2 per cell]